Record 1
Density functional theory data (PBEsol) for a geometry-optimized TlZnBr4 structure.

Structure (extended XYZ):
```
6
Lattice="-3.892 -3.540 -3.329 -0.903 -5.957 1.569 -5.443 -1.786 2.440" Properties=species:S:1:pos:R:3 pbc="T T T"
Br -6.571 -5.121 1.483
Br -3.830 -4.221 0.254
Br -4.285 -7.221 1.044
Br -5.790 -6.004 -1.423
Tl -7.679 -8.463 0.509
Zn 0.000 0.000 0.000
```

## Properties
Formation energy (no corrections) = 0.245 eV/atom


Record 2
Density functional theory data (PBEsol) for a geometry-optimized SbPbS2 structure.

Structure (extended XYZ):
```
4
Lattice="4.937 0.000 0.000 2.469 4.276 0.000 2.469 1.425 4.031" Properties=species:S:1:pos:R:3 pbc="T T T"
S 7.406 4.276 3.023
S 2.469 1.425 1.008
Sb 0.000 0.000 0.000
Pb 4.937 2.851 2.016
```

## Properties
Formation energy (no corrections) = -0.113 eV/atom


Record 3
Density functional theory data (PBEsol) for a geometry-optimized ZrScIn structure.

Structure (extended XYZ):
```
3
Lattice="3.284 0.000 0.000 0.000 3.284 0.000 -1.642 -1.642 6.122" Properties=species:S:1:pos:R:3 pbc="T T T"
In 1.642 1.642 6.115
Zr 1.642 1.642 2.028
Sc 0.000 0.000 4.102
```

## Properties
Energy relative to the lowest polymorph listed for this composition = 0.000 eV/atom


Record 4
Density functional theory data (PBEsol) for a geometry-optimized SrBe2NbN structure.

Structure (extended XYZ):
```
5
Lattice="4.240 0.000 0.000 0.000 4.217 0.000 0.000 0.000 4.217" Properties=species:S:1:pos:R:3 pbc="T T T"
Nb 2.120 0.000 0.000
Be 0.000 2.109 0.000
Be 0.000 0.000 2.109
Sr 2.120 2.109 2.109
N 0.000 0.000 0.000
```

## Properties
Formation energy (no corrections) = 0.641 eV/atom


Q: Number 3 is which compound?
A: ZrScIn